This record from OQMD via LeMat-Bulk describes Co2BiBP2O10 after structural relaxation. The functional is PBE with a Hubbard U.

## Properties
Symmetry: P2_1/m, No. 11
Calculated total energy (eV for the cell shown): -222.8
V (A^3/atom): 10.78
Total magnetization (μB/cell): 12.00

The structure in extended XYZ format:
```
32
Lattice="5.035 0.000 0.000 0.000 11.259 0.000 -1.949 0.000 6.085" Properties=species:S:1:pos:R:3 pbc="T T T"
O -1.269 6.229 5.013
O 2.310 10.719 2.101
O -0.425 9.641 2.086
O 4.354 0.599 1.072
O 3.510 4.011 3.999
O 0.776 5.089 3.984
O 1.771 4.209 0.043
O 0.776 0.541 3.984
O 1.771 1.421 0.043
O -0.132 2.815 2.353
O 1.314 9.838 6.042
O 3.217 8.444 3.732
O 2.310 6.170 2.101
O -0.425 7.248 2.086
O 4.354 5.030 1.072
O 1.314 7.050 6.042
O 3.510 1.618 3.999
O 2.534 2.815 2.186
O -1.269 10.660 5.013
O 0.552 8.444 3.899
Bi -0.595 8.444 5.752
Bi 3.681 2.815 0.333
Co 1.134 1.189 2.071
Co 1.134 4.440 2.071
Co 1.951 6.819 4.014
Co 1.951 10.070 4.014
P -0.527 0.721 4.793
P 3.613 6.351 1.292
P -0.527 4.909 4.793
P 3.613 10.538 1.292
B 3.678 2.815 3.129
B -0.593 8.444 2.955
```